ZnFeCo: optimized geometry, PBE.

Output
**Space-group type**: No. 42
**DFT total energy**: -16.72 eV/cell
**Offset from the most stable computed form**: 0.15 eV per formula unit
**ΔH_f (0 K)**: 40 meV per atom

The structure in extended XYZ format:
```
3
Lattice="-2.320 5.658 -2.051 -4.264 4.078 -2.193 -0.255 1.381 2.080" Properties=species:S:1:pos:R:3 pbc="T T T"
Co -6.554 9.697 -4.214
Fe -2.401 4.213 -0.064
Zn -4.468 6.943 -2.130
```